Compound: LaPmNiGe
Source: the Alexandria database
Functional: GGA-PBE
Structure: relaxed

## Properties
* total magnetization: 0.000 μB per atom
* space-group type: No. 216
* density of states at the Fermi level: 0.4622 states/eV per atom
* formation enthalpy at 0 K: -175 kJ/mol of formula units
* calculated volume: 95.6 Å³/cell

a b c (Å): 5.1327 5.1327 5.1327
angles (deg): 60.00 60.00 60.00
With the nearest neighbours (Å) after each atom.
Sites, in units of the cell vectors:
Ni 0.2500 0.2500 0.2500  4 Pm 3.14, 4 La 3.14
Ge 0.7500 0.7500 0.7500  4 La 3.14, 4 Pm 3.14
La 0.5000 0.5000 0.5000  4 Ge 3.14, 4 Ni 3.14
Pm 0.0000 0.0000 0.0000  4 Ge 3.14, 4 Ni 3.14

Compound: La2NiGe3Pt4
Source: the Alexandria database
Functional: GGA-PBE
Structure: relaxed

## Properties
* total magnetization: 0.000 μB per atom
* space-group type: No. 115
* density of states at the Fermi level: 0.8801 states/eV per atom
* formation enthalpy at 0 K: -853 kJ/mol of formula units
* calculated volume: 194.2 Å³/cell

a b c (Å): 4.3568 4.3568 10.2303
angles (deg): 90.00 90.00 90.00
With the nearest neighbours (Å) after each atom.
Sites, in units of the cell vectors:
La 0.5000 0.0000 0.2627  2 Ni 3.26, 6 Ge 3.26-3.36, 8 Pt 3.28-3.46
La 0.0000 0.5000 0.7373  6 Ge 3.26-3.36, 2 Ni 3.26, 8 Pt 3.28-3.46
Ni 0.5000 0.5000 0.5000  4 Pt 2.54
Ge 0.0000 0.0000 0.5000  4 Pt 2.54
Ge 0.5000 0.0000 0.8695  5 Pt 2.47-2.56
Ge 0.0000 0.5000 0.1305  5 Pt 2.47-2.56
Pt 0.5000 0.5000 0.0000  4 Ge 2.56
Pt 0.0000 0.0000 0.0000  4 Ge 2.56
Pt 0.5000 0.0000 0.6284  3 Ge 2.47-2.54, 2 Ni 2.54
Pt 0.0000 0.5000 0.3716  3 Ge 2.47-2.54, 2 Ni 2.54